Entry 1:
The following is a DFT calculation (GGA-PBE) of a relaxed structure of Al2SbPt.

Structure (POSCAR):
```
Al2SbPt
1.0
4.3761 -1.6316 0.0000
4.3761 1.6316 0.0000
-2.2986 0.0000 5.8114
Al Sb Pt
2 1 1
direct
0.0000 0.0000 0.0000 Al
0.1901 0.1901 0.6866 Al
0.3820 0.3820 0.4121 Sb
0.7180 0.7180 0.0064 Pt
```

Properties
- Space-group type: Cm (8)
- Uncorrected energy: -4.80 eV per atom


Entry 2:
The following is a DFT calculation (GGA-PBE) of a relaxed structure of Al2SbPt.

Structure (POSCAR):
```
Al2SbPt
1.0
3.9121 0.0000 0.0000
-0.0420 3.9306 0.0000
-1.7792 -1.7545 5.0044
Al Sb Pt
2 1 1
direct
0.0000 0.0000 0.0000 Al
0.5000 0.5000 0.5000 Al
0.0000 0.0000 0.5000 Sb
0.5000 0.5000 0.0000 Pt
```

Properties
- Space-group type: P-1 (2)
- Uncorrected energy: -4.58 eV per atom


no.,formation energy without anion corrections (eV per atom)
1,-0.389
2,-0.166